No. 1
# PBE-GGA SrTeC2Cl, optimized geometry
data_SrTeC2Cl
_space_group_name_H-M_alt 'P 4/m m m'
_space_group_IT_number 123
_space_group_name_Hall '-P 4 2'
_cell_length_a 4.231
_cell_length_b 4.231
_cell_length_c 6.003
_cell_angle_alpha 90.00
_cell_angle_beta 90.00
_cell_angle_gamma 90.00
loop_
_atom_site_label
_atom_site_type_symbol
_atom_site_fract_x
_atom_site_fract_y
_atom_site_fract_z
Sr1 Sr 0.000 0.000 0.000
Te1 Te 0.500 0.500 0.500
C1 C 0.000 0.500 0.500
Cl1 Cl 0.500 0.500 0.000
# - E_form (uncorrected) (eV/atom) = 1.056

No. 2
# PBE-GGA HfMgBeNi, optimized geometry
data_HfMgBeNi
_space_group_name_H-M_alt 'F -4 3 m'
_space_group_IT_number 216
_space_group_name_Hall 'F -4 2 3'
_cell_length_a 6.178
_cell_length_b 6.178
_cell_length_c 6.178
_cell_angle_alpha 90.00
_cell_angle_beta 90.00
_cell_angle_gamma 90.00
loop_
_atom_site_label
_atom_site_type_symbol
_atom_site_fract_x
_atom_site_fract_y
_atom_site_fract_z
Hf1 Hf 0.000 0.000 0.000
Mg1 Mg 0.000 0.000 0.500
Be1 Be 0.250 0.250 0.750
Ni1 Ni 0.250 0.250 0.250
# - total DFT energy (no corrections) (eV/cell) = -86.741

No. 3
# PBE-GGA Mg2Re2Hg, optimized geometry
data_Mg2Re2Hg
_space_group_name_H-M_alt 'P 4/m b m'
_space_group_IT_number 127
_space_group_name_Hall '-P 4 2ab'
_cell_length_a 7.424
_cell_length_b 7.424
_cell_length_c 3.337
_cell_angle_alpha 90.00
_cell_angle_beta 90.00
_cell_angle_gamma 90.00
loop_
_atom_site_label
_atom_site_type_symbol
_atom_site_fract_x
_atom_site_fract_y
_atom_site_fract_z
Mg1 Mg 0.181 0.319 0.000
Re1 Re 0.110 0.610 0.500
Hg1 Hg 0.000 0.000 0.500
# - ΔE to the lowest computed polymorph (kJ per mole of atoms) = 0.0

No. 4
# PBE-GGA CaMoRh2, optimized geometry
data_CaMoRh2
_space_group_name_H-M_alt 'P 4/m m m'
_space_group_IT_number 123
_space_group_name_Hall '-P 4 2'
_cell_length_a 3.008
_cell_length_b 3.008
_cell_length_c 7.656
_cell_angle_alpha 90.00
_cell_angle_beta 90.00
_cell_angle_gamma 90.00
loop_
_atom_site_label
_atom_site_type_symbol
_atom_site_fract_x
_atom_site_fract_y
_atom_site_fract_z
Ca1 Ca 0.000 0.000 0.000
Mo1 Mo 0.000 0.000 0.500
Rh1 Rh 0.500 0.500 0.287
# - ΔE to the lowest computed polymorph (kJ per mole of atoms) = 0.0

Which calculated density belongs to each record? In order, 4.24 7.62 11.22 8.20 g/cm³.